[1]
! PBE-GGA Ta5SnB2, optimized geometry; values from VASP
! space group: I4/mcm (140)
! ΔH_f (0 K): -0.377 eV per atom
&SYSTEM
  ibrav = 0, nat = 16, ntyp = 3
/
ATOMIC_SPECIES
Ta 180.95 Ta.upf
Sn 118.71 Sn.upf
B 10.81 B.upf
CELL_PARAMETERS angstrom
5.8010 0.0000 -2.7384
-1.2927 5.6551 -2.7384
-0.0032 -0.0040 7.5068
ATOMIC_POSITIONS crystal
Ta 0.5309 0.7092 0.7401
Ta 0.7908 0.9691 0.2599
Ta 0.0000 0.0000 0.0000
Ta 0.5000 0.5000 0.0000
Ta 0.2092 0.0309 0.7401
Ta 0.7092 0.2092 0.7401
Ta 0.0309 0.5309 0.7401
Ta 0.2908 0.7908 0.2599
Ta 0.9691 0.4691 0.2599
Ta 0.4691 0.2908 0.2599
Sn 0.7500 0.7500 0.5000
Sn 0.2500 0.2500 0.5000
B 0.1310 0.3690 0.0000
B 0.6310 0.1310 0.0000
B 0.3690 0.8690 0.0000
B 0.8690 0.6310 0.0000

***

[2]
! PBE-GGA Ta2SnB, optimized geometry; values from VASP
! space group: I-42d (122)
! E above lowest polymorph: 79 meV/atom
! ΔH_f (0 K): 0.839 eV per atom
&SYSTEM
  ibrav = 0, nat = 8, ntyp = 3
/
ATOMIC_SPECIES
B 10.81 B.upf
Sn 118.71 Sn.upf
Ta 180.95 Ta.upf
CELL_PARAMETERS angstrom
-0.3718 5.4518 1.3079
-1.0597 -1.3555 5.3489
4.6640 2.1530 4.4208
ATOMIC_POSITIONS crystal
B 0.5000 0.5000 0.0000
B 0.2500 0.7500 0.5000
Sn 0.0000 0.0000 0.0000
Sn 0.7500 0.2500 0.5000
Ta 0.5157 0.1250 0.2500
Ta 0.2343 0.6250 0.2500
Ta 0.3750 0.4843 0.7500
Ta 0.8750 0.7657 0.7500

***

[3]
! PBE-GGA Ta2SnB, optimized geometry; values from VASP
! space group: Fm-3m (225)
! E above lowest polymorph: 0 meV/atom
! ΔH_f (0 K): 0.760 eV per atom
&SYSTEM
  ibrav = 0, nat = 4, ntyp = 3
/
ATOMIC_SPECIES
B 10.81 B.upf
Sn 118.71 Sn.upf
Ta 180.95 Ta.upf
CELL_PARAMETERS angstrom
-0.0631 2.5430 3.7422
-2.3286 -1.3723 3.6290
2.1956 -1.3778 3.7090
ATOMIC_POSITIONS crystal
B 0.0000 0.0000 0.0000
Sn 0.5000 0.5000 0.5000
Ta 0.2500 0.2500 0.2500
Ta 0.7500 0.7500 0.7500

***

Number 1: DOS(E_F) 6.318 states/eV/cell, calculated total energy -9.954 eV/atom, calculated volume 246 Å³ per cell. Number 2: DOS(E_F) 4.453 states/eV/cell, calculated total energy -7.757 eV/atom, calculated volume 173 Å³ per cell. Number 3: DOS(E_F) 3.515 states/eV/cell, calculated total energy -7.837 eV/atom, calculated volume 66 Å³ per cell.